1.
Material: TaTc2GePt
Method: DFT, GGA-PBE
State: optimized geometry

Calculated values
Its spin magnetization is 0.20 μB/atom. The formation energy comes out at 0.904 eV/atom. The relative energy among the computed polymorphs comes out at 0 meV per atom. As for the mass density: 11.730 Mg/m³.

a = 4.534 Å, b = 4.534 Å, c = 4.440 Å
α = 90.00°, β = 90.00°, γ = 90.00°
Space group P4/mmm (No. 123)
One atom of each set of equivalent atoms:
Ta (0.000, 0.000, 0.000) x1
Tc (0.000, 0.500, 0.500) x2
Ge (0.500, 0.500, 0.500) x1
Pt (0.500, 0.500, 0.000) x1

=====

2.
Material: LaTb3Sm6Th2
Method: DFT, GGA-PBE
State: optimized geometry

Calculated values
Its spin magnetization is 0.00 μB/atom. The formation energy comes out at 0.036 eV/atom. As for the mass density: 8.218 Mg/m³.

a = 6.268 Å, b = 10.843 Å, c = 11.971 Å
α = 90.00°, β = 100.07°, γ = 90.00°
Space group C2/m (No. 12)
One atom of each set of equivalent atoms:
La (0.000, 0.000, 0.000) x2
Tb (0.000, 0.167, 0.500) x4
Tb (0.000, 0.500, 0.500) x2
Sm (0.245, 0.500, 0.249) x4
Sm (0.247, 0.330, 0.751) x8
Th (0.000, 0.333, 0.000) x4

=====

3.
Material: Tl2TcPb
Method: DFT, GGA-PBE
State: optimized geometry

Calculated values
Its spin magnetization is 0.16 μB/atom. The formation energy comes out at 0.436 eV/atom. The relative energy among the computed polymorphs comes out at 0 meV per atom. As for the mass density: 11.209 Mg/m³.

a = 3.105 Å, b = 4.832 Å, c = 14.101 Å
α = 90.00°, β = 90.00°, γ = 90.00°
Space group Imm2 (No. 44)
One atom of each set of equivalent atoms:
Tl (0.000, 0.000, 0.000) x2
Tl (0.000, 0.500, 0.177) x2
Tc (0.000, 0.000, 0.496) x2
Pb (0.000, 0.500, 0.821) x2

=====

4.
Material: TePSO2
Method: DFT, GGA-PBE
State: optimized geometry

Calculated values
Its spin magnetization is 0.00 μB/atom. As for the mass density: 5.278 Mg/m³. The calculation puts the formation energy (no corrections) at 1.25 eV per formula unit.

a = 3.777 Å, b = 3.777 Å, c = 4.911 Å
α = 90.00°, β = 90.00°, γ = 90.00°
Space group P4/mmm (No. 123)
One atom of each set of equivalent atoms:
Te (0.000, 0.000, 0.000) x1
P (0.500, 0.500, 0.000) x1
S (0.500, 0.500, 0.500) x1
O (0.000, 0.500, 0.500) x2

=====

5.
Material: CsRbCdAg
Method: DFT, GGA-PBE
State: optimized geometry

Calculated values
Its spin magnetization is 0.00 μB/atom. The formation energy comes out at 0.077 eV/atom. The relative energy among the computed polymorphs comes out at 111 meV per atom. As for the mass density: 3.926 Mg/m³.

a = 9.054 Å, b = 9.054 Å, c = 9.054 Å
α = 90.00°, β = 90.00°, γ = 90.00°
Space group F-43m (No. 216)
One atom of each set of equivalent atoms:
Cs (0.000, 0.000, 0.000) x4
Rb (0.000, 0.000, 0.500) x4
Cd (0.250, 0.250, 0.750) x4
Ag (0.250, 0.250, 0.250) x4

=====

6.
Material: TlCuHg2
Method: DFT, GGA-PBE
State: optimized geometry

Calculated values
Its spin magnetization is 0.00 μB/atom. The formation energy comes out at 0.270 eV/atom. As for the mass density: 11.595 Mg/m³.

a = 7.264 Å, b = 7.264 Å, c = 7.264 Å
α = 90.00°, β = 90.00°, γ = 90.00°
Space group F-43m (No. 216)
One atom of each set of equivalent atoms:
Tl (0.000, 0.000, 0.000) x4
Cu (0.250, 0.250, 0.750) x4
Hg (0.000, 0.000, 0.500) x4
Hg (0.250, 0.250, 0.250) x4

=====

7.
Material: PmDyAl2Zn2
Method: DFT, GGA-PBE
State: optimized geometry

Calculated values
Its spin magnetization is 0.00 μB/atom. The formation energy comes out at -0.451 eV/atom. As for the mass density: 6.330 Mg/m³.

a = 4.5090 Å, b = 4.5090 Å, c = 7.3340 Å
α = 90.00°, β = 90.00°, γ = 120.00°
Space group P-3m1 (No. 164)
One atom of each set of equivalent atoms:
Pm (0.0000, 0.0000, 0.0000) x1
Dy (0.0000, 0.0000, 0.5000) x1
Al (0.3333, 0.6667, 0.2657) x2
Zn (0.3333, 0.6667, 0.7281) x2

=====

8.
Material: BaZr2SbTe
Method: DFT, GGA-PBE
State: optimized geometry

Calculated values
Its spin magnetization is 0.79 μB/atom. As for the mass density: 4.898 Mg/m³. The calculation puts the formation energy (no corrections) at 1.03 eV per formula unit.

a = 5.423 Å, b = 5.423 Å, c = 6.560 Å
α = 90.00°, β = 90.00°, γ = 90.00°
Space group P4/mmm (No. 123)
One atom of each set of equivalent atoms:
Ba (0.000, 0.000, 0.000) x1
Zr (0.000, 0.500, 0.500) x2
Sb (0.000, 0.000, 0.500) x1
Te (0.500, 0.500, 0.000) x1

=====

9.
Material: Pm3Nd4Y2
Method: DFT, GGA-PBE
State: optimized geometry

Calculated values
Its spin magnetization is 0.00 μB/atom. The formation energy comes out at 0.002 eV/atom. The relative energy among the computed polymorphs comes out at 0 meV per atom. As for the mass density: 6.371 Mg/m³.

a = 19.088 Å, b = 3.679 Å, c = 9.087 Å
α = 90.00°, β = 103.60°, γ = 90.00°
Space group C2/m (No. 12)
One atom of each set of equivalent atoms:
Pm (0.000, 0.000, 0.000) x2
Pm (0.094, 0.500, 0.334) x4
Nd (0.075, 0.000, 0.668) x4
Nd (0.168, 0.500, 0.003) x4
Y (0.241, 0.500, 0.665) x4

=====

10.
Material: ZnCuI2O
Method: DFT, GGA-PBE
State: optimized geometry

Calculated values
Its spin magnetization is 0.00 μB/atom. As for the mass density: 5.368 Mg/m³. The calculation puts the formation energy (no corrections) at 0.57 eV per formula unit.

a = 5.877 Å, b = 5.877 Å, c = 3.571 Å
α = 90.00°, β = 90.00°, γ = 90.00°
Space group P4/mmm (No. 123)
One atom of each set of equivalent atoms:
Zn (0.000, 0.000, 0.000) x1
Cu (0.500, 0.500, 0.500) x1
I (0.000, 0.500, 0.000) x2
O (0.000, 0.000, 0.500) x1

=====

11.
Material: AgSnPdPb2
Method: DFT, GGA-PBE
State: optimized geometry

Calculated values
Its spin magnetization is 0.00 μB/atom. The formation energy comes out at 0.762 eV/atom. As for the mass density: 7.169 Mg/m³.

a = 5.820 Å, b = 5.820 Å, c = 5.111 Å
α = 90.00°, β = 90.00°, γ = 90.00°
Space group P4/mmm (No. 123)
One atom of each set of equivalent atoms:
Ag (0.000, 0.000, 0.000) x1
Sn (0.000, 0.000, 0.500) x1
Pd (0.500, 0.500, 0.000) x1
Pb (0.000, 0.500, 0.500) x2

=====

12.
Material: TiAs2Pt
Method: DFT, GGA-PBE
State: optimized geometry

Calculated values
Its spin magnetization is 0.00 μB/atom. The formation energy comes out at -0.313 eV/atom. The relative energy among the computed polymorphs comes out at 0 meV per atom. As for the mass density: 9.479 Mg/m³.

a = 3.0185 Å, b = 3.0185 Å, c = 26.1626 Å
α = 90.00°, β = 90.00°, γ = 120.00°
Space group R-3m (No. 166, hexagonal axes)
One atom of each set of equivalent atoms:
Ti (0.0000, 0.0000, 0.0000) x3
As (0.0000, 0.0000, 0.4075) x6
Pt (0.0000, 0.0000, 0.5000) x3

=====

13.
Material: TbDy7In4
Method: DFT, GGA-PBE
State: optimized geometry

Calculated values
Its spin magnetization is 0.00 μB/atom. The formation energy comes out at -0.095 eV/atom. As for the mass density: 8.186 Mg/m³.

a = 14.503 Å, b = 5.656 Å, c = 10.443 Å
α = 90.00°, β = 123.76°, γ = 90.00°
Space group C2/m (No. 12)
One atom of each set of equivalent atoms:
Tb (0.000, 0.000, 0.000) x2
Dy (0.000, 0.500, 0.000) x2
Dy (0.064, 0.000, 0.396) x4
Dy (0.210, 0.000, 0.878) x4
Dy (0.221, 0.500, 0.662) x4
In (0.060, 0.500, 0.756) x4
In (0.181, 0.500, 0.334) x4

=====

14.
Material: Ac8In2Co
Method: DFT, GGA-PBE
State: optimized geometry

Calculated values
Its spin magnetization is 0.00 μB/atom. The formation energy comes out at -0.061 eV/atom. The relative energy among the computed polymorphs comes out at 56 meV per atom. As for the mass density: 7.952 Mg/m³.

a = 17.737 Å, b = 8.196 Å, c = 6.448 Å
α = 90.00°, β = 110.35°, γ = 90.00°
Space group C2/m (No. 12)
One atom of each set of equivalent atoms:
Ac (0.075, 0.247, 0.322) x8
Ac (0.134, 0.500, 0.867) x4
Ac (0.140, 0.000, 0.893) x4
In (0.248, 0.500, 0.490) x4
Co (0.000, 0.000, 0.000) x2

=====

15.
Material: K4ReRh
Method: DFT, GGA-PBE
State: optimized geometry

Calculated values
Its spin magnetization is 0.74 μB/atom. The formation energy comes out at 1.643 eV/atom. As for the mass density: 3.912 Mg/m³.

a = 9.111 Å, b = 9.111 Å, c = 9.111 Å
α = 90.00°, β = 90.00°, γ = 90.00°
Space group F-43m (No. 216)
One atom of each set of equivalent atoms:
K (0.125, 0.125, 0.125) x16
Re (0.250, 0.250, 0.750) x4
Rh (0.000, 0.000, 0.500) x4

=====

16.
Material: Cd8AgAu2
Method: DFT, GGA-PBE
State: optimized geometry

Calculated values
Its spin magnetization is 0.00 μB/atom. The formation energy comes out at -0.054 eV/atom. The relative energy among the computed polymorphs comes out at 41 meV per atom. As for the mass density: 9.533 Mg/m³.

a = 7.493 Å, b = 13.041 Å, c = 5.250 Å
α = 90.00°, β = 107.93°, γ = 90.00°
Space group C2/m (No. 12)
One atom of each set of equivalent atoms:
Cd (0.000, 0.227, 0.000) x4
Cd (0.106, 0.500, 0.789) x4
Cd (0.203, 0.114, 0.667) x8
Ag (0.000, 0.000, 0.000) x2
Au (0.000, 0.306, 0.500) x4

=====

17.
Material: Pa4TiGa12
Method: DFT, GGA-PBE
State: optimized geometry

Calculated values
Its spin magnetization is 0.00 μB/atom. The formation energy comes out at -0.418 eV/atom. As for the mass density: 9.178 Mg/m³.

a = 8.682 Å, b = 8.682 Å, c = 8.682 Å
α = 90.00°, β = 90.00°, γ = 90.00°
Space group Im-3m (No. 229)
One atom of each set of equivalent atoms:
Pa (0.250, 0.250, 0.250) x8
Ti (0.000, 0.000, 0.000) x2
Ga (0.000, 0.000, 0.298) x12
Ga (0.000, 0.250, 0.500) x12

=====

18.
Material: Li7Zn2In
Method: DFT, GGA-PBE
State: optimized geometry

Calculated values
Its spin magnetization is 0.00 μB/atom. The formation energy comes out at 0.102 eV/atom. As for the mass density: 2.172 Mg/m³.

a = 7.292 Å, b = 13.315 Å, c = 4.634 Å
α = 90.00°, β = 90.00°, γ = 90.00°
Space group Cmmm (No. 65)
One atom of each set of equivalent atoms:
Li (0.000, 0.000, 0.000) x2
Li (0.000, 0.280, 0.500) x4
Li (0.180, 0.385, 0.000) x8
Zn (0.000, 0.202, 0.000) x4
In (0.000, 0.500, 0.500) x2

=====

19.
Material: La2AsS4
Method: DFT, GGA-PBE
State: optimized geometry

Calculated values
Its spin magnetization is 0.00 μB/atom. As for the mass density: 4.647 Mg/m³. The calculation puts the formation energy (no corrections) at -9.25 eV per formula unit.

a = 6.716 Å, b = 6.323 Å, c = 8.585 Å
α = 90.00°, β = 109.46°, γ = 90.00°
Space group P2_1/m (No. 11)
One atom of each set of equivalent atoms:
La (0.211, 0.250, 0.424) x2
La (0.263, 0.250, 0.948) x2
As (0.287, 0.750, 0.730) x2
S (0.039, 0.750, 0.361) x2
S (0.061, 0.750, 0.921) x2
S (0.484, 0.518, 0.263) x4

=====

20.
Material: AgTeAsI2
Method: DFT, GGA-PBE
State: optimized geometry

Calculated values
Its spin magnetization is 0.00 μB/atom. The relative energy among the computed polymorphs comes out at 0 meV per atom. As for the mass density: 5.248 Mg/m³. The calculation puts the formation energy (no corrections) at 1.97 eV per formula unit.

a = 5.673 Å, b = 5.673 Å, c = 5.546 Å
α = 90.00°, β = 90.00°, γ = 90.00°
Space group P4/mmm (No. 123)
One atom of each set of equivalent atoms:
Ag (0.000, 0.000, 0.000) x1
Te (0.500, 0.500, 0.000) x1
As (0.500, 0.500, 0.500) x1
I (0.000, 0.500, 0.500) x2

=====

21.
Material: HgRh3
Method: DFT, GGA-PBE
State: optimized geometry

Calculated values
Its spin magnetization is 0.00 μB/atom. The formation energy comes out at 0.210 eV/atom. As for the mass density: 13.408 Mg/m³.

a = 4.914 Å, b = 9.155 Å, c = 5.608 Å
α = 90.00°, β = 90.00°, γ = 90.00°
Space group Pnma (No. 62)
One atom of each set of equivalent atoms:
Hg (0.068, 0.250, 0.124) x4
Rh (0.082, 0.250, 0.637) x4
Rh (0.231, 0.507, 0.373) x8

=====

22.
Material: SbRhBr2
Method: DFT, GGA-PBE
State: optimized geometry

Calculated values
Its spin magnetization is 0.00 μB/atom. The relative energy among the computed polymorphs comes out at 822 meV per atom. As for the mass density: 7.390 Mg/m³. The calculation puts the formation energy (no corrections) at 1.52 eV per formula unit.

a = 7.017 Å, b = 7.017 Å, c = 7.017 Å
α = 90.00°, β = 90.00°, γ = 90.00°
Space group F-43m (No. 216)
One atom of each set of equivalent atoms:
Sb (0.000, 0.000, 0.000) x4
Rh (0.250, 0.250, 0.250) x4
Br (0.000, 0.000, 0.500) x4
Br (0.250, 0.250, 0.750) x4

=====

23.
Material: CsAlPb
Method: DFT, GGA-PBE
State: optimized geometry

Calculated values
Its spin magnetization is 0.00 μB/atom. The formation energy comes out at -0.020 eV/atom. As for the mass density: 4.721 Mg/m³.

a = 4.842 Å, b = 7.751 Å, c = 7.763 Å
α = 106.69°, β = 103.19°, γ = 102.95°
Space group P1 (No. 1)
One atom of each set of equivalent atoms:
Cs (0.000, 0.000, 0.000) x1
Cs (0.498, 0.357, 0.644) x1
Al (0.212, 0.566, 0.138) x1
Al (0.713, 0.494, 0.212) x1
Pb (0.189, 0.741, 0.547) x1
Pb (0.686, 0.904, 0.381) x1

=====

24.
Material: Cs2PPdSe4
Method: DFT, GGA-PBE
State: optimized geometry

Calculated values
Its spin magnetization is 0.10 μB/atom. As for the mass density: 4.215 Mg/m³. The calculation puts the formation energy (no corrections) at -4.54 eV per formula unit.

a = 6.729 Å, b = 13.633 Å, c = 24.705 Å
α = 90.00°, β = 90.00°, γ = 90.00°
Space group Fddd (No. 70, origin choice 2)
One atom of each set of equivalent atoms:
Cs (0.125, 0.125, 0.301) x16
P (0.125, 0.125, 0.625) x8
Pd (0.125, 0.125, 0.125) x8
Se (0.085, 0.284, 0.826) x32

=====

25.
Material: KTaRu2
Method: DFT, GGA-PBE
State: optimized geometry

Calculated values
Its spin magnetization is 0.00 μB/atom. The formation energy comes out at 0.949 eV/atom. The relative energy among the computed polymorphs comes out at 592 meV per atom. As for the mass density: 8.966 Mg/m³.

a = 3.057 Å, b = 5.533 Å, c = 9.247 Å
α = 90.00°, β = 90.00°, γ = 90.00°
Space group Immm (No. 71)
One atom of each set of equivalent atoms:
K (0.000, 0.000, 0.000) x2
Ta (0.000, 0.000, 0.500) x2
Ru (0.000, 0.500, 0.216) x4